Run A
Compound: NaTePO2
Source: Alexandria
Functional: PBE-GGA
Structure: relaxed Values from VASP.

Structure (Quantum ESPRESSO input):
```
&SYSTEM
  ibrav = 0, nat = 5, ntyp = 4
/
ATOMIC_SPECIES
Na 22.99 Na.upf
Te 127.60 Te.upf
P 30.97 P.upf
O 16.00 O.upf
CELL_PARAMETERS angstrom
4.1093 0.0000 0.0000
0.0000 4.1093 0.0000
0.0000 0.0000 5.6119
ATOMIC_POSITIONS crystal
Na 0.0000 0.0000 0.0000
Te 0.5000 0.5000 0.5000
P 0.0000 0.0000 0.5000
O 0.0000 0.5000 0.0000
O 0.5000 0.0000 0.0000
```

## Properties
Its space group is P4/mmm. As for the crystal system: tetragonal.

Run B
Compound: NaTePO2
Source: Alexandria
Functional: PBE-GGA
Structure: relaxed Values from VASP.

Structure (Quantum ESPRESSO input):
```
&SYSTEM
  ibrav = 0, nat = 5, ntyp = 4
/
ATOMIC_SPECIES
Na 22.99 Na.upf
Te 127.60 Te.upf
P 30.97 P.upf
O 16.00 O.upf
CELL_PARAMETERS angstrom
4.0843 0.0000 0.0000
0.0000 4.0843 0.0000
0.0000 0.0000 5.2930
ATOMIC_POSITIONS crystal
Na 0.0000 0.0000 0.0000
Te 0.5000 0.5000 0.5000
P 0.5000 0.5000 0.0000
O 0.0000 0.5000 0.5000
O 0.5000 0.0000 0.5000
```

## Properties
Its space group is P4/mmm. As for the crystal system: tetragonal.

If you had to name the least stable structure above, which would it be? It would be run A.